The following is a DFT calculation (PBE-GGA) of a relaxed NaTiGa crystal.

extended XYZ file:
```
6
Lattice="3.407 0.000 0.000 0.000 4.087 0.000 -1.659 0.000 10.456" Properties=species:S:1:pos:R:3 pbc="T T T"
Na 0.000 0.000 0.000
Na 0.062 2.044 7.667
Ti -0.005 0.000 4.994
Ti 1.703 0.000 2.878
Ga -0.001 2.044 2.742
Ga 1.701 2.044 4.945
```

Summary:
**M_tot**: 0.0 μB/f.u.
**Energy of formation from the pure elements**: -52 meV per atom
**Calculated volume**: 24.27 Å³/atom